Run P
{"formula": "ZrRe2Ni", "functional": "PBE", "state": "relaxed", "dos_at_fermi_per_ev_cell": 3.23, "magnetic_moment_mub_per_fu": 0.00, "lattice": [[1.676, -2.133, 0.000], [1.676, 2.133, 0.000], [0.000, 0.000, 8.619]], "species": ["Zr", "Re", "Re", "Ni"], "frac_coords": [[0.000, 0.000, 0.000], [0.500, 0.500, 0.280], [0.500, 0.500, 0.720], [0.000, 0.000, 0.500]]}



Run Q
{"formula": "ZrRe2Ni", "functional": "PBE", "state": "relaxed", "dos_at_fermi_per_ev_cell": 3.12, "magnetic_moment_mub_per_fu": 0.00, "lattice": [[3.262, 0.000, 0.000], [0.000, 4.250, 0.000], [0.000, 0.000, 4.513]], "species": ["Zr", "Re", "Re", "Ni"], "frac_coords": [[0.000, 0.000, 0.000], [0.000, 0.500, 0.500], [0.500, 0.000, 0.500], [0.500, 0.500, 0.000]]}



Run R
{"formula": "ZrRe2Ni", "functional": "PBE", "state": "relaxed", "dos_at_fermi_per_ev_cell": 4.51, "magnetic_moment_mub_per_fu": 0.00, "lattice": [[3.091, 0.000, 0.000], [0.000, 3.091, 0.000], [0.000, 0.000, 6.677]], "species": ["Zr", "Re", "Re", "Ni"], "frac_coords": [[0.000, 0.000, 0.000], [0.000, 0.000, 0.489], [0.500, 0.500, 0.704], [0.500, 0.500, 0.275]]}



Run S
{"formula": "ZrRe2Ni", "functional": "PBE", "state": "relaxed", "dos_at_fermi_per_ev_cell": 2.92, "magnetic_moment_mub_per_fu": 0.00, "lattice": [[4.975, -1.420, 0.000], [4.975, 1.420, 0.000], [-1.103, 0.000, 4.426]], "species": ["Zr", "Re", "Re", "Ni"], "frac_coords": [[0.000, 0.000, 0.000], [0.221, 0.221, 0.725], [0.779, 0.779, 0.275], [0.500, 0.500, 0.500]]}



The most stable arrangement is run R, and the next structure is 0.019 eV/atom less stable.



Run P
{"formula": "Zr3ReNi", "functional": "PBE", "state": "relaxed", "dos_at_fermi_per_ev_cell": 5.85, "magnetic_moment_mub_per_fu": 0.00, "lattice": [[4.741, 0.000, 0.000], [0.000, 4.741, 0.000], [0.000, 0.000, 4.741]], "species": ["Zr", "Zr", "Zr", "Re", "Ni"], "frac_coords": [[0.000, 0.000, 0.500], [0.000, 0.500, 0.000], [0.500, 0.000, 0.000], [0.500, 0.500, 0.500], [0.000, 0.000, 0.000]]}



Run Q
{"formula": "Zr3ReNi", "functional": "PBE", "state": "relaxed", "dos_at_fermi_per_ev_cell": 8.14, "magnetic_moment_mub_per_fu": 0.00, "lattice": [[5.039, 0.000, 0.000], [0.000, 5.039, 0.000], [0.000, 0.000, 5.039]], "species": ["Zr", "Zr", "Zr", "Re", "Ni"], "frac_coords": [[0.000, 0.000, 0.500], [0.000, 0.500, 0.000], [0.500, 0.000, 0.000], [0.000, 0.000, 0.000], [0.500, 0.500, 0.500]]}



The most stable arrangement is run P, and the next structure is 0.226 eV/atom less stable.



Run P
{"formula": "NiRh4", "functional": "PBE", "state": "relaxed", "dos_at_fermi_per_ev_cell": 8.70, "magnetic_moment_mub_per_fu": 0.00, "lattice": [[-3.558, 3.558, 1.360], [3.558, -3.558, 1.360], [3.558, 3.558, -1.360]], "species": ["Ni", "Rh", "Rh", "Rh", "Rh"], "frac_coords": [[0.000, 0.000, 0.000], [0.216, 0.414, 0.631], [0.414, 0.784, 0.198], [0.586, 0.216, 0.802], [0.784, 0.586, 0.369]]}



Run Q
{"formula": "NiRh4", "functional": "PBE", "state": "relaxed", "dos_at_fermi_per_ev_cell": 8.37, "magnetic_moment_mub_per_fu": 4.31, "lattice": [[4.412, 0.000, 0.000], [0.000, 4.412, 0.000], [0.000, 0.000, 4.412]], "species": ["Ni", "Rh", "Rh", "Rh", "Rh"], "frac_coords": [[0.000, 0.000, 0.000], [0.000, 0.000, 0.500], [0.000, 0.500, 0.000], [0.500, 0.000, 0.000], [0.500, 0.500, 0.500]]}



The most stable arrangement is run P, and the next structure is 1.106 eV/atom less stable.



Run P
{"formula": "NiRh4", "functional": "PBE", "state": "relaxed", "dos_at_fermi_per_ev_cell": 8.07, "magnetic_moment_mub_per_fu": 0.44, "lattice": [[-1.354, 1.884, 6.693], [1.354, -1.884, 6.693], [1.354, 1.884, -6.693]], "species": ["Ni", "Rh", "Rh", "Rh", "Rh"], "frac_coords": [[0.000, 0.000, 0.000], [0.198, 0.198, 0.000], [0.404, 0.404, 0.000], [0.596, 0.596, 0.000], [0.802, 0.802, 0.000]]}



Run Q
{"formula": "NiRh4", "functional": "PBE", "state": "relaxed", "dos_at_fermi_per_ev_cell": 8.23, "magnetic_moment_mub_per_fu": 0.50, "lattice": [[-2.368, 2.368, 3.728], [2.368, -2.368, 3.728], [2.368, 2.368, -3.728]], "species": ["Ni", "Rh", "Rh", "Rh", "Rh"], "frac_coords": [[0.000, 0.000, 0.000], [0.250, 0.750, 0.500], [0.343, 0.343, 0.000], [0.657, 0.657, 0.000], [0.750, 0.250, 0.500]]}



The most stable arrangement is run P, and the next structure is 0.770 eV/atom less stable.



Run P
{"formula": "NiRh4", "functional": "PBE", "state": "relaxed", "dos_at_fermi_per_ev_cell": 5.54, "magnetic_moment_mub_per_fu": 0.83, "lattice": [[-1.769, 1.769, 6.220], [1.769, -1.769, 6.220], [1.769, 1.769, -6.220]], "species": ["Ni", "Rh", "Rh", "Rh", "Rh"], "frac_coords": [[0.000, 0.000, 0.000], [0.250, 0.750, 0.500], [0.404, 0.404, 0.000], [0.596, 0.596, 0.000], [0.750, 0.250, 0.500]]}



Run Q
{"formula": "NiRh4", "functional": "PBE", "state": "relaxed", "dos_at_fermi_per_ev_cell": 10.46, "magnetic_moment_mub_per_fu": 0.80, "lattice": [[2.137, 1.234, 4.407], [-2.137, 1.234, 4.407], [0.000, -2.467, 4.407]], "species": ["Ni", "Rh", "Rh", "Rh", "Rh"], "frac_coords": [[0.000, 0.000, 0.000], [0.188, 0.188, 0.188], [0.389, 0.389, 0.389], [0.611, 0.611, 0.611], [0.812, 0.812, 0.812]]}



Run R
{"formula": "NiRh4", "functional": "PBE", "state": "relaxed", "dos_at_fermi_per_ev_cell": 8.09, "magnetic_moment_mub_per_fu": 0.00, "lattice": [[-1.357, 1.357, 9.239], [1.357, -1.357, 9.239], [1.357, 1.357, -9.239]], "species": ["Ni", "Rh", "Rh", "Rh", "Rh"], "frac_coords": [[0.000, 0.000, 0.000], [0.198, 0.198, 0.000], [0.406, 0.406, 0.000], [0.594, 0.594, 0.000], [0.802, 0.802, 0.000]]}



Run S
{"formula": "NiRh4", "functional": "PBE", "state": "relaxed", "dos_at_fermi_per_ev_cell": 7.93, "magnetic_moment_mub_per_fu": 0.24, "lattice": [[-3.001, 3.001, 1.894], [3.001, -3.001, 1.894], [3.001, 3.001, -1.894]], "species": ["Ni", "Rh", "Rh", "Rh", "Rh"], "frac_coords": [[0.000, 0.000, 0.000], [0.202, 0.398, 0.600], [0.398, 0.798, 0.196], [0.602, 0.202, 0.804], [0.798, 0.602, 0.400]]}



The most stable arrangement is run S, and the next structure is 0.010 eV/atom less stable.



Run P
{"formula": "Ni3Rh4", "functional": "PBE", "state": "relaxed", "dos_at_fermi_per_ev_cell": 10.72, "magnetic_moment_mub_per_fu": 3.15, "lattice": [[4.193, -1.858, 0.000], [4.193, 1.858, 0.000], [-0.809, 0.000, 5.829]], "species": ["Ni", "Ni", "Ni", "Rh", "Rh", "Rh", "Rh"], "frac_coords": [[0.000, 0.000, 0.000], [0.572, 0.572, 0.728], [0.712, 0.712, 0.145], [0.141, 0.141, 0.430], [0.284, 0.284, 0.868], [0.429, 0.429, 0.285], [0.858, 0.858, 0.578]]}



Run Q
{"formula": "Ni3Rh4", "functional": "PBE", "state": "relaxed", "dos_at_fermi_per_ev_cell": 13.20, "magnetic_moment_mub_per_fu": 0.00, "lattice": [[-1.343, 1.808, 9.294], [1.343, -1.808, 9.294], [1.343, 1.808, -9.294]], "species": ["Ni", "Ni", "Ni", "Rh", "Rh", "Rh", "Rh"], "frac_coords": [[0.000, 0.000, 0.000], [0.141, 0.141, 0.000], [0.859, 0.859, 0.000], [0.287, 0.287, 0.000], [0.429, 0.429, 0.000], [0.571, 0.571, 0.000], [0.713, 0.713, 0.000]]}



The most stable arrangement is run P, and the next structure is 0.008 eV/atom less stable.